one.
Computed, not measured: a relaxed structure of ZrVMo at the PBE level of DFT.

abc: 2.709 2.709 7.325
angles: 100.66 100.66 90.00
Sites, in units of the cell vectors:
Zr 0.621 0.621 0.241
V 0.287 0.287 0.575
Mo 0.942 0.942 0.884

Output
magnetization: 0.00 μB/cell
SG: I4mm, No. 107
DOS at the Fermi energy: 1.538 states/eV/atom

***

two.
Computed, not measured: a relaxed structure of ZrVMo at the PBE level of DFT.

abc: 3.002 4.449 4.449
angles: 120.00 90.00 90.00
Sites, in units of the cell vectors:
V 0.709 0.333 0.667
Zr 0.318 0.667 0.333
Mo 0.973 0.000 0.000

Output
magnetization: 0.00 μB/cell
SG: P3m1, No. 156
DOS at the Fermi energy: 1.233 states/eV/atom

***

Energetically preferred structure: two | next structure: +241 meV/atom